Record 1
A relaxed ScTe2OsI crystal. Source: Alexandria via LeMat-Bulk, functional GGA-PBE.

## Properties
symmetry	P4/mmm, No. 123
D(E_F)	1.381	states/eV/atom
uncorrected formation energy	50.0	kJ per mole of atoms
total magnetic moment	0.00	μB per formula unit
calculated density	6966	kg/m³
E above lowest polymorph	0.0	kJ/mol of atoms
E_tot	-4.561	eV/atom

The structure in extended XYZ format:
```
5
Lattice="-5.0310 -1.1634 -0.8594 -0.0659 -2.9228 4.3424 -1.4822 4.2921 2.8664" Properties=species:S:1:pos:R:3 pbc="T T T"
I -0.7411 2.1461 1.4332
Sc -3.2896 0.1030 3.1747
Te -0.0330 -1.4614 2.1712
Te -2.5155 -0.5817 -0.4297
Os 0.0000 0.0000 0.0000
```

---

Record 2
A relaxed Os2SeI crystal. Source: Alexandria via LeMat-Bulk, functional GGA-PBE.

## Properties
symmetry	I-42d, No. 122
D(E_F)	0.560	states/eV/atom
uncorrected formation energy	94.6	kJ per mole of atoms
total magnetic moment	0.00	μB per formula unit
calculated density	11695	kg/m³
E above lowest polymorph	0.0	kJ/mol of atoms
E_tot	-5.893	eV/atom

The structure in extended XYZ format:
```
8
Lattice="-2.9084 0.7626 -3.4868 0.2110 -4.4533 -1.1499 -7.4268 -3.3572 2.4209" Properties=species:S:1:pos:R:3 pbc="T T T"
I 0.0000 0.0000 0.0000
I -5.8420 -2.2200 -1.6922
Os -3.3996 -0.9845 -1.4199
Os -2.3368 -3.4621 -0.8472
Os -6.5636 -4.2823 -0.0214
Os -7.9484 -5.3669 -2.1433
Se -1.3487 -1.8454 -2.3184
Se -4.2822 -4.8279 -0.5237
```

---

Record 3
A relaxed OsSe2I crystal. Source: Alexandria via LeMat-Bulk, functional GGA-PBE.

## Properties
symmetry	R-3m, No. 166
D(E_F)	0.882	states/eV/atom
uncorrected formation energy	9.9	kJ per mole of atoms
total magnetic moment	0.00	μB per formula unit
calculated density	7614	kg/m³
E above lowest polymorph	0.0	kJ/mol of atoms
E_tot	-4.834	eV/atom

The structure in extended XYZ format:
```
4
Lattice="-0.9786 5.8929 5.8277 1.7798 3.6343 7.2987 2.6845 6.3454 4.7092" Properties=species:S:1:pos:R:3 pbc="T T T"
I 0.0000 0.0000 0.0000
Os 1.7428 7.9363 8.9178
Se 3.0750 14.0026 15.7342
Se 0.4107 1.8701 2.1013
```

---

Record 4
A relaxed OsSeI2 crystal. Source: Alexandria via LeMat-Bulk, functional GGA-PBE.

## Properties
symmetry	I-42d, No. 122
D(E_F)	0.240	states/eV/atom
uncorrected formation energy	91.4	kJ per mole of atoms
total magnetic moment	0.00	μB per formula unit
calculated density	7341	kg/m³
E above lowest polymorph	0.0	kJ/mol of atoms
E_tot	-3.507	eV/atom

The structure in extended XYZ format:
```
8
Lattice="-6.3842 3.5541 0.0312 -3.3027 -5.9558 2.6479 -4.0469 0.1936 5.4697" Properties=species:S:1:pos:R:3 pbc="T T T"
I -5.7766 1.7267 1.7197
I -3.5120 -3.4312 3.0245
I -6.4805 -0.4178 4.9568
I -11.6985 -2.2939 6.5966
Os 0.0000 0.0000 0.0000
Os -7.6373 1.2735 3.4203
Se -4.8435 -1.2009 1.3396
Se -6.0965 -3.4815 4.7286
```

---

Record 5
A relaxed Os2SeI crystal. Source: Alexandria via LeMat-Bulk, functional GGA-PBE.

## Properties
symmetry	Fm-3m, No. 225
D(E_F)	1.343	states/eV/atom
uncorrected formation energy	132.4	kJ per mole of atoms
total magnetic moment	0.00	μB per formula unit
calculated density	14032	kg/m³
E above lowest polymorph	37.8	kJ/mol of atoms
E_tot	-5.501	eV/atom

The structure in extended XYZ format:
```
4
Lattice="0.4891 1.5949 4.3002 -2.6823 -1.6259 3.3817 1.8005 -2.7061 3.2725" Properties=species:S:1:pos:R:3 pbc="T T T"
I -0.1963 -1.3686 5.4772
Os -0.0982 -0.6843 2.7386
Os -0.2945 -2.0529 8.2158
Se 0.0000 0.0000 0.0000
```

---

Record 6
A relaxed OsSeI3 crystal. Source: Alexandria via LeMat-Bulk, functional GGA-PBE.

## Properties
symmetry	Pm-3m, No. 221
D(E_F)	2.555	states/eV/atom
uncorrected formation energy	147.3	kJ per mole of atoms
total magnetic moment	4.62	μB per formula unit
calculated density	5759	kg/m³
E above lowest polymorph	64.8	kJ/mol of atoms
E_tot	-2.346	eV/atom

The structure in extended XYZ format:
```
5
Lattice="5.7226 0.0000 0.0000 0.0000 5.7226 0.0000 0.0000 0.0000 5.7226" Properties=species:S:1:pos:R:3 pbc="T T T"
I 0.0000 2.8613 0.0000
I 0.0000 0.0000 2.8613
I 2.8613 0.0000 0.0000
Os 2.8613 2.8613 2.8613
Se 0.0000 0.0000 0.0000
```

---

Record 7
A relaxed OsSe2I crystal. Source: Alexandria via LeMat-Bulk, functional GGA-PBE.

## Properties
symmetry	R-3m, No. 166
D(E_F)	1.070	states/eV/atom
uncorrected formation energy	57.3	kJ per mole of atoms
total magnetic moment	0.00	μB per formula unit
calculated density	7633	kg/m³
E above lowest polymorph	47.4	kJ/mol of atoms
E_tot	-4.343	eV/atom

The structure in extended XYZ format:
```
4
Lattice="1.7442 0.0000 13.0762 -0.8721 1.5105 13.0762 -0.8721 -1.5105 13.0762" Properties=species:S:1:pos:R:3 pbc="T T T"
I 0.0000 0.0000 19.6143
Os 0.0000 0.0000 0.0000
Se 0.0000 0.0000 36.8566
Se 0.0000 0.0000 2.3720
```

---

Record 8
A relaxed OsSe2I crystal. Source: Alexandria via LeMat-Bulk, functional GGA-PBE.

## Properties
symmetry	I-42d, No. 122
D(E_F)	0.751	states/eV/atom
uncorrected formation energy	29.7	kJ per mole of atoms
total magnetic moment	0.00	μB per formula unit
calculated density	6653	kg/m³
E above lowest polymorph	19.7	kJ/mol of atoms
E_tot	-4.630	eV/atom

The structure in extended XYZ format:
```
8
Lattice="-1.9789 -5.0834 -4.3180 2.7253 -4.7271 4.3161 -3.9138 -5.2319 2.3483" Properties=species:S:1:pos:R:3 pbc="T T T"
I 0.3732 -4.9053 -0.0009
I -0.4076 -7.4321 3.3318
Os 0.0000 0.0000 0.0000
Os -2.7597 -7.6103 -0.9853
Se -2.0855 -5.6178 -2.0323
Se 0.6884 -4.3561 3.2051
Se -2.9459 -7.0991 1.3006
Se -1.9918 -13.0119 2.2196
```

---

Record 9
A relaxed OsSe2I crystal. Source: Alexandria via LeMat-Bulk, functional GGA-PBE.

## Properties
symmetry	Fm-3m, No. 225
D(E_F)	1.140	states/eV/atom
uncorrected formation energy	121.7	kJ per mole of atoms
total magnetic moment	0.00	μB per formula unit
calculated density	9936	kg/m³
E above lowest polymorph	111.8	kJ/mol of atoms
E_tot	-3.676	eV/atom

The structure in extended XYZ format:
```
4
Lattice="0.0000 3.4113 3.4113 3.4113 0.0000 3.4113 3.4113 3.4113 0.0000" Properties=species:S:1:pos:R:3 pbc="T T T"
I 0.0000 0.0000 0.0000
Os 3.4113 3.4113 3.4113
Se 1.7056 1.7056 1.7056
Se 5.1169 5.1169 5.1169
```

---

Record 10
A relaxed OsSeI3 crystal. Source: Alexandria via LeMat-Bulk, functional GGA-PBE.

## Properties
symmetry	Pm-3m, No. 221
D(E_F)	1.378	states/eV/atom
uncorrected formation energy	82.5	kJ per mole of atoms
total magnetic moment	0.00	μB per formula unit
calculated density	7056	kg/m³
E above lowest polymorph	0.0	kJ/mol of atoms
E_tot	-3.018	eV/atom

The structure in extended XYZ format:
```
5
Lattice="5.3479 0.0000 0.0000 0.0000 5.3479 0.0000 0.0000 0.0000 5.3479" Properties=species:S:1:pos:R:3 pbc="T T T"
I 0.0000 2.6739 0.0000
I 0.0000 0.0000 2.6739
I 2.6739 0.0000 0.0000
Os 0.0000 0.0000 0.0000
Se 2.6739 2.6739 2.6739
```

---

Record 11
A relaxed OsSeI2 crystal. Source: Alexandria via LeMat-Bulk, functional GGA-PBE.

## Properties
symmetry	Fm-3m, No. 225
D(E_F)	1.039	states/eV/atom
uncorrected formation energy	138.2	kJ per mole of atoms
total magnetic moment	0.00	μB per formula unit
calculated density	9820	kg/m³
E above lowest polymorph	46.8	kJ/mol of atoms
E_tot	-3.022	eV/atom

The structure in extended XYZ format:
```
4
Lattice="0.0000 3.5362 3.5362 3.5362 0.0000 3.5362 3.5362 3.5362 0.0000" Properties=species:S:1:pos:R:3 pbc="T T T"
I 1.7681 1.7681 1.7681
I 5.3043 5.3043 5.3043
Os 3.5362 3.5362 3.5362
Se 0.0000 0.0000 0.0000
```

---

Record 12
A relaxed SiOsSe2I crystal. Source: Alexandria via LeMat-Bulk, functional GGA-PBE.

## Properties
symmetry	P4/mmm, No. 123
D(E_F)	1.274	states/eV/atom
uncorrected formation energy	83.3	kJ per mole of atoms
total magnetic moment	0.00	μB per formula unit
calculated density	6487	kg/m³
E_tot	-4.171	eV/atom

The structure in extended XYZ format:
```
5
Lattice="4.7786 0.0000 0.0000 0.0000 5.6401 0.0000 0.0000 0.0000 4.7786" Properties=species:S:1:pos:R:3 pbc="T T T"
I 0.0000 2.8201 0.0000
Si 2.3893 2.8201 2.3893
Os 0.0000 0.0000 0.0000
Se 0.0000 0.0000 2.3893
Se 2.3893 0.0000 0.0000
```

---

Record 13
A relaxed Te2OsSeI crystal. Source: Alexandria via LeMat-Bulk, functional GGA-PBE.

## Properties
symmetry	P4/mmm, No. 123
D(E_F)	1.354	states/eV/atom
uncorrected formation energy	158.4	kJ per mole of atoms
total magnetic moment	4.44	μB per formula unit
calculated density	6520	kg/m³
E above lowest polymorph	84.1	kJ/mol of atoms
E_tot	-2.868	eV/atom

The structure in extended XYZ format:
```
5
Lattice="-3.8981 -3.7396 -0.8229 1.6484 -0.5790 -5.1773 3.5140 -4.0078 1.5670" Properties=species:S:1:pos:R:3 pbc="T T T"
I 1.7570 -2.0039 0.7835
Te 0.8242 -0.2895 -2.5887
Te -1.9491 -1.8698 -0.4115
Os 0.6321 -4.1632 -2.2166
Se 0.0000 0.0000 0.0000
```

---

Record 14
A relaxed Te2OsSeI crystal. Source: Alexandria via LeMat-Bulk, functional GGA-PBE.

## Properties
symmetry	P4/mmm, No. 123
D(E_F)	1.341	states/eV/atom
uncorrected formation energy	74.3	kJ per mole of atoms
total magnetic moment	0.00	μB per formula unit
calculated density	7412	kg/m³
E above lowest polymorph	0.0	kJ/mol of atoms
E_tot	-3.740	eV/atom

The structure in extended XYZ format:
```
5
Lattice="-5.0901 0.8923 -0.0235 -0.8357 -4.8118 -1.6894 -0.3315 -1.7553 5.1636" Properties=species:S:1:pos:R:3 pbc="T T T"
I -0.1658 -0.8777 2.5818
Te -0.4179 -2.4059 -0.8447
Te -2.5451 0.4461 -0.0117
Os 0.0000 0.0000 0.0000
Se -3.1287 -2.8374 1.7254
```